Material: Cs3Bi2O6
Method: DFT, PBE-GGA
State: relaxed

Values from the calculation:
crystal system: tetragonal
DOS(E_F): 3.27 states/eV per cell
calculated density: 6.15 g/cm3
M_tot: 0.00 μB per formula unit
raw formation energy: -1.150 eV/atom

POSCAR file:
```
Cs3Bi2O6
1.0
4.2900 0.0000 0.0000
0.0000 4.2900 0.0000
-2.1450 -2.1450 13.3917
Bi O Cs
2 6 3
direct
0.6072 0.6072 0.2144 Bi
0.3928 0.3928 0.7856 Bi
0.9125 0.4125 0.8251 O
0.3167 0.3167 0.6334 O
0.5875 0.0875 0.1749 O
0.0875 0.5875 0.1749 O
0.6833 0.6833 0.3666 O
0.4125 0.9125 0.8251 O
0.1968 0.1968 0.3935 Cs
0.0000 0.0000 0.0000 Cs
0.8032 0.8032 0.6065 Cs
```

***

Material: Cs2CdCl
Method: DFT, PBE-GGA
State: relaxed

Values from the calculation:
crystal system: trigonal
DOS(E_F): 2.84 states/eV per cell
calculated density: 3.28 g/cm3
M_tot: 0.39 μB per formula unit
raw formation energy: -0.884 eV/atom

POSCAR file:
```
Cs2CdCl
1.0
-2.0585 -0.8543 4.3915
0.6217 -4.3596 2.2046
7.7054 1.7082 6.7055
Cd Cl Cs
1 1 2
direct
0.4998 0.4998 0.5007 Cd
0.6665 0.6665 0.0004 Cl
0.0700 0.0700 0.7900 Cs
0.2637 0.2637 0.2089 Cs
```

***

Material: FeNi2
Method: DFT, PBE-GGA
State: relaxed

Values from the calculation:
ΔH_f (0 K): -0.023 eV/atom
crystal system: monoclinic
DOS(E_F): 5.83 states/eV per cell
calculated density: 8.60 g/cm3
M_tot: 3.83 μB per formula unit

POSCAR file:
```
FeNi2
1.0
2.5007 0.0000 0.0000
1.2503 4.6545 -0.0008
0.0000 1.5757 5.7490
Fe Ni
2 4
direct
0.0012 0.9975 0.0015 Fe
0.3308 0.3383 0.6640 Fe
0.9453 0.1093 0.3907 Ni
0.6097 0.7807 0.7226 Ni
0.2797 0.4405 0.0564 Ni
0.6665 0.6670 0.3315 Ni
```

***

Material: Tb2HoP3
Method: DFT, PBE-GGA
State: relaxed

Values from the calculation:
ΔH_f (0 K): -1.613 eV/atom
crystal system: orthorhombic
DOS(E_F): 0.81 states/eV per cell
calculated density: 6.96 g/cm3
M_tot: 0.00 μB per formula unit

POSCAR file:
```
Tb2HoP3
1.0
3.8877 -0.1197 -1.0082
-0.4564 5.1366 -2.3699
-0.2765 0.0455 6.9473
P Tb Ho
3 2 1
direct
0.8346 0.8346 0.6693 P
0.5000 0.5000 0.0000 P
0.1654 0.1654 0.3307 P
0.1668 0.6668 0.3337 Tb
0.8332 0.3332 0.6663 Tb
0.5000 0.0000 0.0000 Ho
```

***

Material: Cd2Pd3Pb2
Method: DFT, PBE-GGA
State: relaxed

Values from the calculation:
ΔH_f (0 K): -0.272 eV/atom
crystal system: triclinic
DOS(E_F): 2.32 states/eV per cell
calculated density: 10.73 g/cm3
M_tot: 0.00 μB per formula unit

POSCAR file:
```
Cd2Pd3Pb2
1.0
4.6188 -0.1126 -1.1734
-2.6038 4.0184 -0.0520
-0.0023 -0.0992 8.1384
Pd Cd Pb
3 2 2
direct
0.4888 0.2695 0.7594 Pd
0.0000 0.0000 0.0000 Pd
0.5112 0.7305 0.2406 Pd
0.2438 0.6347 0.8799 Cd
0.7562 0.3653 0.1201 Cd
0.7369 0.8872 0.6255 Pb
0.2631 0.1128 0.3745 Pb
```

***

Material: Al2Ga2Bi2O9
Method: DFT, PBE-GGA
State: relaxed

Values from the calculation:
crystal system: orthorhombic
DOS(E_F): 0.00 states/eV per cell
calculated density: 6.39 g/cm3
M_tot: 0.00 μB per formula unit
raw formation energy: -2.039 eV/atom

POSCAR file:
```
Al2Ga2Bi2O9
1.0
5.9191 0.0000 0.0000
0.0000 7.8926 0.0000
0.0000 0.0000 8.4075
Bi O Al Ga
4 18 4 4
direct
0.0000 0.1782 0.1774 Bi
0.0000 0.8218 0.8226 Bi
0.0000 0.6782 0.3226 Bi
0.0000 0.3218 0.6774 Bi
0.0000 0.6519 0.0596 O
0.7482 0.3767 0.2167 O
0.0000 0.3481 0.9404 O
0.7482 0.6233 0.7833 O
0.5000 0.5000 0.5000 O
0.2518 0.3767 0.2167 O
0.2518 0.6233 0.7833 O
0.5000 0.3566 0.9129 O
0.2518 0.8767 0.2833 O
0.7482 0.8767 0.2833 O
0.5000 0.8566 0.5871 O
0.2518 0.1233 0.7167 O
0.0000 0.1519 0.4404 O
0.5000 0.1434 0.4129 O
0.5000 0.6434 0.0871 O
0.5000 0.0000 0.0000 O
0.7482 0.1233 0.7167 O
0.0000 0.8481 0.5596 O
0.5000 0.3562 0.3422 Al
0.5000 0.6438 0.6577 Al
0.5000 0.1438 0.8422 Al
0.5000 0.8562 0.1578 Al
0.2620 0.5000 0.0000 Ga
0.2620 0.0000 0.5000 Ga
0.7380 0.5000 0.0000 Ga
0.7380 0.0000 0.5000 Ga
```

***

Number 1: total energy -4.793 eV/atom. Number 2: total energy -2.001 eV/atom. Number 3: total energy -6.698 eV/atom. Number 4: total energy -6.624 eV/atom. Number 5: total energy -3.818 eV/atom. Number 6: total energy -6.434 eV/atom.